Sr3LaTa2Co2O12 PBE+U relaxed; uncorrected energy = -7.7540 eV per atom; space-group type = Pmm2, No. 25
1.0
5.623 0.000 0.000
0.000 5.649 0.000
0.000 0.000 16.078
Sr La Ta Co O
6 2 4 4 24
Cartesian
0.000 0.000 0.000
0.000 0.000 3.993
0.000 0.000 12.058
2.812 2.824 3.968
2.812 2.824 8.047
2.812 2.824 12.100
0.000 0.000 8.107
2.812 2.824 0.046
0.000 2.824 1.907
0.000 2.824 6.004
0.000 2.824 10.130
2.812 0.000 14.037
0.000 2.824 14.052
2.812 0.000 2.021
2.812 0.000 5.975
2.812 0.000 9.984
0.000 2.824 3.937
0.000 2.824 8.011
0.000 2.824 12.093
0.000 2.824 15.953
1.352 1.415 9.962
1.352 4.234 9.962
1.372 1.422 6.005
1.372 4.227 6.005
1.405 1.454 14.072
1.408 1.468 1.847
1.408 4.181 1.847
1.405 4.195 14.072
2.812 0.000 4.005
2.812 0.000 7.926
2.812 0.000 12.096
2.812 0.000 15.994
4.219 1.454 14.072
4.216 1.468 1.847
4.216 4.181 1.847
4.219 4.195 14.072
4.252 1.422 6.005
4.252 4.227 6.005
4.271 1.415 9.962
4.271 4.234 9.962